1.
The following is a DFT calculation (PBE-GGA) of a geometry-optimized BC3 structure.

energy = -8.289 eV/atom
energy relative to the lowest polymorph listed for this composition = 57 meV/atom
calculated volume = 6.2 A^3/atom

The structure in CIF format:
```
data_BC3
_chemical_formula_sum 'B6 C18'
_cell_length_a 8.801
_cell_length_b 2.521
_cell_length_c 7.467
_cell_angle_alpha 90.00
_cell_angle_beta 116.42
_cell_angle_gamma 90.00
_space_group_name_H-M_alt 'C 1 m 1'
_space_group_IT_number 8
_space_group_name_Hall 'C -2y'
loop_
_atom_site_label
_atom_site_type_symbol
_atom_site_fract_x
_atom_site_fract_y
_atom_site_fract_z
_atom_site_occupancy
B1 B 0.000 0.000 0.000 1
B2 B 0.008 0.500 0.833 1
B3 B 0.158 0.500 0.311 1
C1 C 0.175 0.000 0.684 1
C2 C 0.177 0.000 0.189 1
C3 C 0.177 0.500 0.806 1
C4 C 0.327 0.000 0.631 1
C5 C 0.329 0.500 0.024 1
C6 C 0.330 0.000 0.148 1
C7 C 0.347 0.500 0.532 1
C8 C 0.496 0.000 0.357 1
C9 C 0.499 0.500 0.479 1
```

2.
The following is a DFT calculation (PBE-GGA) of a geometry-optimized LiCe2SmS5 structure.

energy = -6.211 eV/atom
E_form (uncorrected) = -1863 meV per atom
calculated volume = 22.0 A^3/atom

The structure in CIF format:
```
data_LiCe2SmS5
_chemical_formula_sum 'Li4 Ce8 Sm4 S20'
_cell_length_a 3.994
_cell_length_b 16.567
_cell_length_c 11.983
_cell_angle_alpha 90.00
_cell_angle_beta 90.00
_cell_angle_gamma 90.00
_space_group_name_H-M_alt 'C m c 21'
_space_group_IT_number 36
_space_group_name_Hall 'C 2c -2'
loop_
_atom_site_label
_atom_site_type_symbol
_atom_site_fract_x
_atom_site_fract_y
_atom_site_fract_z
_atom_site_occupancy
Li1 Li 0.000 0.012 0.000 1
Ce1 Ce 0.000 0.377 0.816 1
Ce2 Ce 0.000 0.390 0.202 1
Sm1 Sm 0.000 0.303 0.519 1
S1 S 0.000 0.000 0.302 1
S2 S 0.000 0.136 0.518 1
S3 S 0.000 0.191 0.858 1
S4 S 0.000 0.210 0.183 1
S5 S 0.000 0.457 0.591 1
```